## CaHfPb2 (PBE)

Data for CaHfPb2 after structural relaxation.

Computed properties:
* ΔE_f: 0.0 eV per formula unit
* DOS(E_F): 1.403 states/eV/atom
* crystal system: cubic

Structure (extended XYZ):
```
4
Lattice="0.0000 3.7722 3.7722 3.7722 0.0000 3.7722 3.7722 3.7722 0.0000" Properties=species:S:1:pos:R:3 pbc="T T T"
Ca 0.0000 0.0000 0.0000
Hf 3.7722 3.7722 3.7722
Pb 1.8861 1.8861 1.8861
Pb 5.6583 5.6583 5.6583
```